A relaxed structure of Ti3GeW. Source: Alexandria, functional PBE-GGA.

Results
- energy relative to the elements (eV/atom) = 0.8337

Lattice parameters (Å, degrees): 4.5987 4.5987 4.5987 90.00 90.00 90.00
Closest atoms and distances in Å follow each position.
Space group Pm-3m (No. 221)
Inequivalent atoms, fractional coordinates:
Ti  0.0000  0.0000  0.5000 (multiplicity 3)  2 Ge 2.30
Ge  0.0000  0.0000  0.0000 (multiplicity 1)  6 Ti 2.30
W  0.5000  0.5000  0.5000 (multiplicity 1)  12 Ti 3.25

---

A relaxed structure of SrFeRu. Source: Alexandria, functional PBE-GGA.

Results
- energy relative to the elements (eV/atom) = 0.4353

Lattice parameters (Å, degrees): 3.3515 3.3515 11.0999 90.00 90.00 90.00
Closest atoms and distances in Å follow each position.
Space group I4mm (No. 107)
Inequivalent atoms, fractional coordinates:
Sr  0.0000  0.0000  0.0000 (multiplicity 2)  5 Fe 3.11-3.40, 5 Ru 3.16-3.36, 4 Sr 3.35
Fe  0.0000  0.0000  0.2805 (multiplicity 2)  4 Ru 2.48
Ru  0.0000  0.0000  0.7152 (multiplicity 2)  4 Fe 2.48

---

A relaxed structure of LaRe2Pt. Source: Alexandria, functional PBE-GGA.

Results
- energy relative to the elements (eV/atom) = 0.7465

Lattice parameters (Å, degrees): 6.5975 6.5975 6.5975 90.00 90.00 90.00
Closest atoms and distances in Å follow each position.
Space group Fm-3m (No. 225)
Inequivalent atoms, fractional coordinates:
La  0.0000  0.0000  0.0000 (multiplicity 4)  8 Re 2.86
Re  0.2500  0.2500  0.2500 (multiplicity 8)  4 La 2.86, 4 Pt 2.86
Pt  0.0000  0.0000  0.5000 (multiplicity 4)  8 Re 2.86

---

A relaxed structure of ZrUCd. Source: Alexandria, functional PBE-GGA.

Results
- energy relative to the elements (eV/atom) = 0.1151

Lattice parameters (Å, degrees): 3.3486 3.3486 25.3485 90.00 90.00 90.00
Closest atoms and distances in Å follow each position.
Space group I4/mmm (No. 139)
Inequivalent atoms, fractional coordinates:
Zr  0.0000  0.0000  0.1396 (multiplicity 4)  4 Cd 3.17, 5 U 3.19-3.45, 4 Zr 3.35
U  0.0000  0.0000  0.2759 (multiplicity 4)  4 U 2.71
Cd  0.0000  0.0000  0.4433 (multiplicity 4)  1 Cd 2.87, 4 Zr 3.17

---

A relaxed structure of PrHfPt2. Source: Alexandria, functional PBE-GGA.

Results
- energy relative to the elements (eV/atom) = -0.9720

Lattice parameters (Å, degrees): 4.1552 4.1552 18.8647 90.00 90.00 120.00
Closest atoms and distances in Å follow each position.
Space group R-3m (No. 166, hexagonal axes)
Inequivalent atoms, fractional coordinates:
Pr  0.0000  0.0000  0.0000 (multiplicity 3)  6 Pt 3.07
Hf  0.0000  0.0000  0.5000 (multiplicity 3)  6 Pt 2.69
Pt  0.0000  0.0000  0.2317 (multiplicity 6)  3 Hf 2.69

---

A relaxed structure of MgSn3Cl8. Source: Alexandria, functional PBE-GGA.

Results
- ΔE_f (raw) (eV per atom) = -1.189

Lattice parameters (Å, degrees): 7.9373 12.1104 8.0839 90.00 90.00 90.00
Closest atoms and distances in Å follow each position.
Space group C222 (No. 21)
Inequivalent atoms, fractional coordinates:
Mg  0.0000  0.0000  0.0000 (multiplicity 2)  6 Cl 2.55
Sn  0.0000  0.0000  0.5000 (multiplicity 2)  6 Cl 2.87-2.88
Sn  0.2500  0.2500  0.2428 (multiplicity 4)  6 Cl 2.83-2.88
Cl  0.0000  0.2102  0.0000 (multiplicity 4)  1 Mg 2.55, 2 Sn 2.83
Cl  0.0000  0.2369  0.5000 (multiplicity 4)  3 Sn 2.87-2.88
Cl  0.2272  0.0129  0.2226 (multiplicity 8)  1 Mg 2.55

---

Number 1: total moment 0.0 μB/cell. Number 2: total moment 6.1 μB/cell. Number 3: total moment 0.0 μB/cell. Number 4: total moment 0.0 μB/cell. Number 5: total moment 0.0 μB/cell. Number 6: total moment 0.0 μB/cell.